# Sc3Zn2In3, relaxed, DFT PBE
data_Sc3Zn2In3
_space_group_name_H-M_alt 'P -6 2 m'
_space_group_IT_number 189
_space_group_name_Hall 'P -6 -2'
_cell_length_a 7.4927
_cell_length_b 7.4927
_cell_length_c 3.4382
_cell_angle_alpha 90.00
_cell_angle_beta 90.00
_cell_angle_gamma 120.00
loop_
_atom_site_label
_atom_site_type_symbol
_atom_site_fract_x
_atom_site_fract_y
_atom_site_fract_z
Sc1 Sc 0.0000 0.5949 0.0000
Zn1 Zn 0.3333 0.6667 0.5000
In1 In 0.0000 0.2417 0.5000
# raw total energy	-32.73	eV for the cell shown
# formation energy from the elements	-371.0	meV/atom

=====

# SrCu2H, relaxed, DFT PBE
data_SrCu2H
_space_group_name_H-M_alt 'F m -3 m'
_space_group_IT_number 225
_space_group_name_Hall '-F 4 2 3'
_cell_length_a 6.7649
_cell_length_b 6.7649
_cell_length_c 6.7649
_cell_angle_alpha 90.00
_cell_angle_beta 90.00
_cell_angle_gamma 90.00
loop_
_atom_site_label
_atom_site_type_symbol
_atom_site_fract_x
_atom_site_fract_y
_atom_site_fract_z
Sr1 Sr 0.0000 0.0000 0.0000
Cu1 Cu 0.2500 0.2500 0.2500
H1 H 0.0000 0.0000 0.5000
# raw total energy	-41.53	eV for the cell shown
# ΔE to the lowest computed polymorph	601.6	meV/atom

=====

# PmNpIn2Te4, relaxed, DFT PBE
data_PmNpIn2Te4
_space_group_name_H-M_alt 'P 1 2/m 1'
_space_group_IT_number 10
_cell_length_a 7.7600
_cell_length_b 4.4628
_cell_length_c 8.5186
_cell_angle_alpha 90.00
_cell_angle_beta 107.60
_cell_angle_gamma 90.00
loop_
_space_group_symop_operation_xyz
'x,y,z'
'-x,-y,-z'
'-x,y,-z'
'x,-y,z'
loop_
_atom_site_label
_atom_site_type_symbol
_atom_site_fract_x
_atom_site_fract_y
_atom_site_fract_z
Pm1 Pm 0.0000 0.0000 0.0000
Np1 Np 0.5000 0.5000 0.0000
In1 In 0.0000 0.5000 0.5000
In2 In 0.5000 0.0000 0.5000
Te1 Te 0.2433 0.5000 0.2246
Te2 Te 0.2624 0.0000 0.7783
# raw total energy	-41.57	eV for the cell shown
# uncorrected formation energy	-5.84	eV per formula unit

=====

# NbCuHgOs2, relaxed, DFT PBE
data_NbCuHgOs2
_space_group_name_H-M_alt 'P 4/m m m'
_space_group_IT_number 123
_space_group_name_Hall '-P 4 2'
_cell_length_a 4.7649
_cell_length_b 4.7649
_cell_length_c 4.7883
_cell_angle_alpha 90.00
_cell_angle_beta 90.00
_cell_angle_gamma 90.00
loop_
_atom_site_label
_atom_site_type_symbol
_atom_site_fract_x
_atom_site_fract_y
_atom_site_fract_z
Nb1 Nb 0.0000 0.0000 0.0000
Cu1 Cu 0.0000 0.0000 0.5000
Hg1 Hg 0.5000 0.5000 0.5000
Os1 Os 0.0000 0.5000 0.0000
# raw total energy	-27.65	eV for the cell shown
# formation energy from the elements	1855.7	meV/atom

=====

# Np2GaC, relaxed, DFT PBE
data_Np2GaC
_space_group_name_H-M_alt 'R -3 m'
_space_group_IT_number 166
_space_group_name_Hall '-R 3 2"'
_cell_length_a 3.0792
_cell_length_b 3.0792
_cell_length_c 28.0240
_cell_angle_alpha 90.00
_cell_angle_beta 90.00
_cell_angle_gamma 120.00
loop_
_atom_site_label
_atom_site_type_symbol
_atom_site_fract_x
_atom_site_fract_y
_atom_site_fract_z
Np1 Np 0.0000 0.0000 0.1122
Ga1 Ga 0.0000 0.0000 0.0000
C1 C 0.0000 0.0000 0.5000
# raw total energy	-111.08	eV for the cell shown
# formation energy from the elements	276.6	meV/atom
# ΔE to the lowest computed polymorph	127.5	meV/atom

=====

# V2Cr2Fe, relaxed, DFT PBE
data_V2Cr2Fe
_space_group_name_H-M_alt 'C m m m'
_space_group_IT_number 65
_space_group_name_Hall '-C 2 2'
_cell_length_a 2.9760
_cell_length_b 14.6573
_cell_length_c 2.8467
_cell_angle_alpha 90.00
_cell_angle_beta 90.00
_cell_angle_gamma 90.00
loop_
_atom_site_label
_atom_site_type_symbol
_atom_site_fract_x
_atom_site_fract_y
_atom_site_fract_z
V1 V 0.0000 0.0996 0.0000
Cr1 Cr 0.0000 0.3070 0.5000
Fe1 Fe 0.0000 0.5000 0.5000
# raw total energy	-89.92	eV for the cell shown
# formation energy from the elements	197.6	meV/atom
# ΔE to the lowest computed polymorph	234.2	meV/atom